No. 1
Compound: YPd3
Source: the Alexandria database
Functional: PBE-GGA
Structure: relaxed

Cell: 5.0604 5.0604 5.0604 Å, 131.21 131.21 71.49°
With the nearest neighbours (Å) after each atom.
Fractional positions:
Y: 0.0000 0.0000 0.0000  12 Pd 2.93-2.96
Pd: 0.2500 0.7500 0.5000  8 Pd 2.93-2.96, 4 Y 2.93
Pd: 0.5000 0.5000 0.0000  8 Pd 2.93, 4 Y 2.96
Pd: 0.7500 0.2500 0.5000  8 Pd 2.93-2.96, 4 Y 2.93

Values from the calculation:
- formation energy from the elements (meV/atom) = -760
- total magnetic moment (μB/atom) = 0.0000
- SG = I4/mmm
- theoretical density (Mg/m³) = 9.4
- electronic total energy (eV/atom) = -6.270
- DOS(E_F) (states/eV/cell) = 2.932

=====

No. 2
Compound: YPd
Source: the Alexandria database
Functional: PBE-GGA
Structure: relaxed

Cell: 8.9758 8.9758 4.3249 Å, 90.00 90.00 120.00°
With the nearest neighbours (Å) after each atom.
Fractional positions:
Y: 0.1957 0.3914 0.2500  6 Pd 2.91-3.07
Y: 0.1957 0.8043 0.2500  6 Pd 2.91-3.07
Y: 0.3914 0.1957 0.7500  6 Pd 2.91-3.07
Y: 0.6086 0.8043 0.2500  6 Pd 2.91-3.07
Y: 0.8043 0.1957 0.7500  6 Pd 2.91-3.07
Y: 0.8043 0.6086 0.7500  6 Pd 2.91-3.07
Pd: 0.1200 0.5600 0.7500  4 Pd 2.86-2.87, 6 Y 2.91-3.07
Pd: 0.4400 0.5600 0.7500  4 Pd 2.86-2.87, 6 Y 2.91-3.07
Pd: 0.4400 0.8800 0.7500  4 Pd 2.86-2.87, 6 Y 2.91-3.07
Pd: 0.5600 0.1200 0.2500  4 Pd 2.86-2.87, 6 Y 2.91-3.07
Pd: 0.5600 0.4400 0.2500  4 Pd 2.86-2.87, 6 Y 2.91-3.07
Pd: 0.8800 0.4400 0.2500  4 Pd 2.86-2.87, 6 Y 2.91-3.07

Values from the calculation:
- formation energy from the elements (meV/atom) = -683
- total magnetic moment (μB/atom) = 0.0000
- SG = P6_3/mmc
- theoretical density (Mg/m³) = 6.4
- electronic total energy (eV/atom) = -6.511
- DOS(E_F) (states/eV/cell) = 11.728

=====

No. 3
Compound: YPd3
Source: the Alexandria database
Functional: PBE-GGA
Structure: relaxed

Cell: 4.6834 4.6834 4.6834 Å, 60.00 60.00 60.00°
With the nearest neighbours (Å) after each atom.
Fractional positions:
Y: 0.0000 0.0000 0.0000  8 Pd 2.87
Pd: 0.2500 0.2500 0.2500  4 Pd 2.87, 4 Y 2.87
Pd: 0.5000 0.5000 0.5000  8 Pd 2.87
Pd: 0.7500 0.7500 0.7500  4 Pd 2.87, 4 Y 2.87

Values from the calculation:
- formation energy from the elements (meV/atom) = -694
- total magnetic moment (μB/atom) = 0.0000
- SG = Fm-3m
- theoretical density (Mg/m³) = 9.3
- electronic total energy (eV/atom) = -6.205
- DOS(E_F) (states/eV/cell) = 1.088

=====

No. 4
Compound: Y3Pd2
Source: the Alexandria database
Functional: PBE-GGA
Structure: relaxed

Cell: 7.8093 7.8093 3.9907 Å, 90.00 90.00 90.00°
With the nearest neighbours (Å) after each atom.
Fractional positions:
Y: 0.0000 0.0000 0.0000  4 Pd 3.05
Y: 0.1641 0.3359 0.5000  6 Pd 3.00-3.07
Y: 0.3359 0.8359 0.5000  6 Pd 3.00-3.07
Y: 0.5000 0.5000 0.0000  4 Pd 3.05
Y: 0.6641 0.1641 0.5000  6 Pd 3.00-3.07
Y: 0.8359 0.6641 0.5000  6 Pd 3.00-3.07
Pd: 0.1326 0.6326 0.0000  1 Pd 2.93, 8 Y 3.00-3.07
Pd: 0.3674 0.1326 0.0000  1 Pd 2.93, 8 Y 3.00-3.07
Pd: 0.6326 0.8674 0.0000  1 Pd 2.93, 8 Y 3.00-3.07
Pd: 0.8674 0.3674 0.0000  1 Pd 2.93, 8 Y 3.00-3.07

Values from the calculation:
- formation energy from the elements (meV/atom) = -722
- total magnetic moment (μB/atom) = 0.0000
- SG = P4/mbm
- theoretical density (Mg/m³) = 6.5
- electronic total energy (eV/atom) = -6.678
- DOS(E_F) (states/eV/cell) = 8.811
- ΔE to the lowest computed polymorph (meV/atom) = 4

=====

No. 5
Compound: YPd3
Source: the Alexandria database
Functional: PBE-GGA
Structure: relaxed

Cell: 4.1351 4.1351 4.1351 Å, 90.00 90.00 90.00°
With the nearest neighbours (Å) after each atom.
Fractional positions:
Y: 0.0000 0.0000 0.0000  12 Pd 2.92
Pd: 0.0000 0.5000 0.5000  8 Pd 2.92, 4 Y 2.92
Pd: 0.5000 0.0000 0.5000  8 Pd 2.92, 4 Y 2.92
Pd: 0.5000 0.5000 0.0000  8 Pd 2.92, 4 Y 2.92

Values from the calculation:
- formation energy from the elements (meV/atom) = -841
- total magnetic moment (μB/atom) = 0.0000
- SG = Pm-3m
- theoretical density (Mg/m³) = 9.6
- electronic total energy (eV/atom) = -6.352
- DOS(E_F) (states/eV/cell) = 2.799

=====

No. 6
Compound: Y7Pd3
Source: the Alexandria database
Functional: PBE-GGA
Structure: relaxed

Cell: 9.9551 9.9551 6.3186 Å, 90.00 90.00 120.00°
With the nearest neighbours (Å) after each atom.
Fractional positions:
Y: 0.0796 0.5398 0.0000  2 Pd 2.87
Y: 0.1256 0.2512 0.3056  3 Pd 2.92-2.94
Y: 0.1256 0.8744 0.3056  3 Pd 2.92-2.94
Y: 0.2512 0.1256 0.8056  3 Pd 2.92-2.94
Y: 0.3333 0.6667 0.4936  3 Pd 2.90
Y: 0.4602 0.5398 0.0000  2 Pd 2.87
Y: 0.4602 0.9204 0.0000  2 Pd 2.87
Y: 0.5398 0.0796 0.5000  2 Pd 2.87
Y: 0.5398 0.4602 0.5000  2 Pd 2.87
Y: 0.6667 0.3333 0.9936  3 Pd 2.90
Y: 0.7488 0.8744 0.3056  3 Pd 2.92-2.94
Y: 0.8744 0.1256 0.8056  3 Pd 2.92-2.94
Y: 0.8744 0.7488 0.8056  3 Pd 2.92-2.94
Y: 0.9204 0.4602 0.5000  2 Pd 2.87
Pd: 0.1904 0.3807 0.7359  6 Y 2.87-2.94
Pd: 0.1904 0.8096 0.7359  6 Y 2.87-2.94
Pd: 0.3807 0.1904 0.2359  6 Y 2.87-2.94
Pd: 0.6193 0.8096 0.7359  6 Y 2.87-2.94
Pd: 0.8096 0.1904 0.2359  6 Y 2.87-2.94
Pd: 0.8096 0.6193 0.2359  6 Y 2.87-2.94

Values from the calculation:
- formation energy from the elements (meV/atom) = -552
- total magnetic moment (μB/atom) = 0.2122
- SG = P6_3mc
- theoretical density (Mg/m³) = 5.8
- electronic total energy (eV/atom) = -6.635
- DOS(E_F) (states/eV/cell) = 27.314

=====

No. 7
Compound: Y3Pd
Source: the Alexandria database
Functional: PBE-GGA
Structure: relaxed

Cell: 7.0619 9.7395 6.5021 Å, 90.00 90.00 90.00°
With the nearest neighbours (Å) after each atom.
Fractional positions:
Y: 0.0235 0.2500 0.1322  2 Pd 2.86-2.91
Y: 0.1808 0.0599 0.6768  2 Pd 2.88-2.94
Y: 0.1808 0.4401 0.6768  2 Pd 2.88-2.94
Y: 0.3192 0.5599 0.1768  2 Pd 2.88-2.94
Y: 0.3192 0.9401 0.1768  2 Pd 2.88-2.94
Y: 0.4765 0.7500 0.6322  2 Pd 2.86-2.91
Y: 0.5235 0.2500 0.3678  2 Pd 2.86-2.91
Y: 0.6808 0.0599 0.8232  2 Pd 2.88-2.94
Y: 0.6808 0.4401 0.8232  2 Pd 2.88-2.94
Y: 0.8192 0.5599 0.3232  2 Pd 2.88-2.94
Y: 0.8192 0.9401 0.3232  2 Pd 2.88-2.94
Y: 0.9765 0.7500 0.8678  2 Pd 2.86-2.91
Pd: 0.1100 0.7500 0.4446  6 Y 2.86-2.94
Pd: 0.3900 0.2500 0.9446  6 Y 2.86-2.94
Pd: 0.6100 0.7500 0.0554  6 Y 2.86-2.94
Pd: 0.8900 0.2500 0.5554  6 Y 2.86-2.94

Values from the calculation:
- formation energy from the elements (meV/atom) = -474
- total magnetic moment (μB/atom) = 0.0003
- SG = Pnma
- theoretical density (Mg/m³) = 5.5
- electronic total energy (eV/atom) = -6.620
- DOS(E_F) (states/eV/cell) = 20.363

=====

No. 8
Compound: YPd
Source: the Alexandria database
Functional: PBE-GGA
Structure: relaxed

Cell: 7.5715 7.5715 7.5715 Å, 94.00 94.00 149.37°
With the nearest neighbours (Å) after each atom.
Fractional positions:
Y: 0.1468 0.6507 0.7975  4 Pd 2.79-2.94
Y: 0.3493 0.1468 0.4962  4 Pd 2.79-2.94
Y: 0.6507 0.8532 0.5038  4 Pd 2.79-2.94
Y: 0.8532 0.3493 0.2025  4 Pd 2.79-2.94
Pd: 0.3242 0.4279 0.7521  2 Pd 2.78, 4 Y 2.79-2.94
Pd: 0.4279 0.6758 0.1037  2 Pd 2.78, 4 Y 2.79-2.94
Pd: 0.5721 0.3242 0.8963  2 Pd 2.78, 4 Y 2.79-2.94
Pd: 0.6758 0.5721 0.2479  2 Pd 2.78, 4 Y 2.79-2.94

Values from the calculation:
- formation energy from the elements (meV/atom) = -433
- total magnetic moment (μB/atom) = 0.0000
- SG = I4/m
- theoretical density (Mg/m³) = 6.1
- electronic total energy (eV/atom) = -6.261
- DOS(E_F) (states/eV/cell) = 5.203